[1]
First-principles (GGA-PBE) data for crystalline CrHS2 at its relaxed geometry, as listed in the Alexandria database.

Cell: 3.349 6.146 6.703 Å, 108.90 90.14 90.00°
Space group P1 (No. 1)
One atom of each set of equivalent atoms:
Cr 0.000 0.000 0.000 (multiplicity 1)
Cr 0.500 0.375 0.035 (multiplicity 1)
H 0.001 0.800 0.254 (multiplicity 1)
H 0.498 0.612 0.668 (multiplicity 1)
S 0.001 0.588 0.280 (multiplicity 1)
S 0.499 0.708 0.882 (multiplicity 1)
S 0.501 0.141 0.239 (multiplicity 1)
S 0.999 0.215 0.791 (multiplicity 1)

Summary:
VASP energy: -45.67 eV for the cell shown

***

[2]
First-principles (GGA-PBE) data for crystalline NdHoTmHg at its relaxed geometry, as listed in the Alexandria database.

Cell: 3.615 3.615 8.894 Å, 90.00 90.00 90.00°
Space group P4mm (No. 99)
One atom of each set of equivalent atoms:
Nd 0.000 0.000 0.000 (multiplicity 1)
Ho 0.500 0.500 0.715 (multiplicity 1)
Tm 0.500 0.500 0.283 (multiplicity 1)
Hg 0.000 0.000 0.495 (multiplicity 1)

Summary:
VASP energy: -15.07 eV for the cell shown
formation energy: -91.4 kJ/mol of formula units

***

[3]
First-principles (GGA-PBE) data for crystalline AlSbH2 at its relaxed geometry, as listed in the Alexandria database.

Cell: 5.846 5.846 5.846 Å, 90.00 90.00 90.00°
Space group Fm-3m (No. 225)
One atom of each set of equivalent atoms:
Al 0.000 0.000 0.000 (multiplicity 4)
Sb 0.000 0.000 0.500 (multiplicity 4)
H 0.250 0.250 0.250 (multiplicity 8)

Summary:
VASP energy: -47.69 eV for the cell shown

***

[4]
First-principles (GGA-PBE) data for crystalline LiCeGaRh at its relaxed geometry, as listed in the Alexandria database.

Cell: 6.585 6.585 6.585 Å, 90.00 90.00 90.00°
Space group F-43m (No. 216)
One atom of each set of equivalent atoms:
Li 0.000 0.000 0.000 (multiplicity 4)
Ce 0.250 0.250 0.250 (multiplicity 4)
Ga 0.250 0.250 0.750 (multiplicity 4)
Rh 0.000 0.000 0.500 (multiplicity 4)

Summary:
VASP energy: -80.99 eV for the cell shown
formation energy: -195.1 kJ/mol of formula units

***

[5]
First-principles (GGA-PBE) data for crystalline TbEuMgCd at its relaxed geometry, as listed in the Alexandria database.

Cell: 7.719 7.719 7.719 Å, 90.00 90.00 90.00°
Space group F-43m (No. 216)
One atom of each set of equivalent atoms:
Tb 0.000 0.000 0.000 (multiplicity 4)
Eu 0.000 0.000 0.500 (multiplicity 4)
Mg 0.250 0.250 0.750 (multiplicity 4)
Cd 0.250 0.250 0.250 (multiplicity 4)

Summary:
VASP energy: -72.51 eV for the cell shown
formation energy: -68.7 kJ/mol of formula units

***

[6]
First-principles (GGA-PBE) data for crystalline SbP2SF at its relaxed geometry, as listed in the Alexandria database.

Cell: 5.172 5.172 4.924 Å, 90.00 90.00 90.00°
Space group P4/mmm (No. 123)
One atom of each set of equivalent atoms:
Sb 0.000 0.000 0.000 (multiplicity 1)
P 0.000 0.500 0.000 (multiplicity 2)
S 0.000 0.000 0.500 (multiplicity 1)
F 0.500 0.500 0.500 (multiplicity 1)

Summary:
VASP energy: -16.21 eV for the cell shown
formation energy from raw total energies: 0.95 eV per atom

***

[7]
First-principles (GGA-PBE) data for crystalline Ce3HoTe4 at its relaxed geometry, as listed in the Alexandria database.

Cell: 8.992 12.587 4.406 Å, 90.00 90.00 90.00°
Space group Cmmm (No. 65)
One atom of each set of equivalent atoms:
Ce 0.000 0.000 0.000 (multiplicity 2)
Ce 0.250 0.250 0.500 (multiplicity 4)
Ho 0.000 0.500 0.000 (multiplicity 2)
Te 0.000 0.255 0.000 (multiplicity 4)
Te 0.241 0.500 0.500 (multiplicity 4)

Summary:
VASP energy: -91.34 eV for the cell shown
formation energy from raw total energies: -1.34 eV per atom

***

[8]
First-principles (GGA-PBE) data for crystalline Nb2Os at its relaxed geometry, as listed in the Alexandria database.

Cell: 4.5540 4.5540 5.5870 Å, 90.00 90.00 120.00°
Space group P-3m1 (No. 164)
One atom of each set of equivalent atoms:
Nb 0.0000 0.0000 0.0000 (multiplicity 1)
Nb 0.0000 0.0000 0.5000 (multiplicity 1)
Nb 0.3333 0.6667 0.1674 (multiplicity 2)
Os 0.3333 0.6667 0.6657 (multiplicity 2)

Summary:
VASP energy: -64.22 eV for the cell shown
formation energy: -71.7 kJ/mol of formula units

***

[9]
First-principles (GGA-PBE) data for crystalline IrOsW2 at its relaxed geometry, as listed in the Alexandria database.

Cell: 2.7865 2.7865 27.2997 Å, 90.00 90.00 120.00°
Space group R-3m (No. 166, hexagonal axes)
One atom of each set of equivalent atoms:
Ir 0.0000 0.0000 0.0000 (multiplicity 3)
Os 0.0000 0.0000 0.5000 (multiplicity 3)
W 0.0000 0.0000 0.2503 (multiplicity 6)

Summary:
VASP energy: -137.51 eV for the cell shown
formation energy: 15.5 kJ/mol of formula units